(1)
The following is a GGA-PBE calculation of Tm8C3S4N after structural relaxation, from Alexandria via LeMat-Bulk.

Computed properties:
- E_tot (eV/atom) = -7.014
- total magnetization (μB per cell) = 0.00
- ΔE_f (raw) (meV/atom) = -1496
- crystal system = trigonal

```
Tm8C3S4N
1.0
-5.2620 -2.6791 -4.2177
-3.3454 -2.9286 6.0340
1.4666 7.1060 -0.1014
N S C Tm
1 4 3 8
direct
0.0000 0.5000 0.0000 N
0.0000 0.0000 0.0000 S
0.0000 0.0000 0.5000 S
0.5000 0.0000 0.0000 S
0.5000 0.0000 0.5000 S
0.5000 0.5000 0.5000 C
0.0000 0.5000 0.5000 C
0.5000 0.5000 0.0000 C
0.7627 0.2903 0.0275 Tm
0.2648 0.2903 0.0275 Tm
0.7352 0.7097 0.9725 Tm
0.7628 0.2903 0.5255 Tm
0.2373 0.7097 0.9725 Tm
0.2624 0.2873 0.5248 Tm
0.7376 0.7127 0.4752 Tm
0.2372 0.7097 0.4745 Tm
```

(2)
The following is a GGA-PBE calculation of UGa4 after structural relaxation, from Alexandria via LeMat-Bulk.

Computed properties:
- polymorph energy (0 for the lowest one) (eV per atom) = 1.257
- E_tot (eV/atom) = -3.590
- formation energy (eV per formula unit) = 5.447
- total magnetization (μB per cell) = 4.01
- crystal system = cubic

```
UGa4
1.0
5.5646 0.0000 0.0000
0.0000 5.5646 0.0000
0.0000 0.0000 5.5646
U Ga
1 4
direct
0.5000 0.5000 0.5000 U
0.0000 0.5000 0.5000 Ga
0.0000 0.0000 0.0000 Ga
0.5000 0.0000 0.5000 Ga
0.5000 0.5000 0.0000 Ga
```

(3)
The following is a GGA-PBE calculation of Tb5Pd2Rh after structural relaxation, from Alexandria via LeMat-Bulk.

Computed properties:
- E_tot (eV/atom) = -5.761
- formation energy (eV per formula unit) = -5.201
- total magnetization (μB per cell) = 0.00
- crystal system = tetragonal

```
Tb5Pd2Rh
1.0
0.1807 7.2265 0.5287
-2.6067 0.5583 -6.7400
-5.7580 -3.9152 5.7998
Tb Pd Rh
10 4 2
direct
0.5211 0.6796 0.7007 Tb
0.0211 0.5211 0.7007 Tb
0.1796 0.0211 0.7007 Tb
0.5000 0.5000 0.0000 Tb
0.6796 0.1796 0.7007 Tb
0.3204 0.8204 0.2993 Tb
0.4789 0.3204 0.2993 Tb
0.0000 0.0000 0.0000 Tb
0.9789 0.4789 0.2993 Tb
0.8204 0.9789 0.2993 Tb
0.6332 0.1332 0.0000 Pd
0.3668 0.8668 0.0000 Pd
0.8668 0.6332 0.0000 Pd
0.1332 0.3668 0.0000 Pd
0.7500 0.7500 0.5000 Rh
0.2500 0.2500 0.5000 Rh
```

(4)
The following is a GGA-PBE calculation of Rb3BaI after structural relaxation, from Alexandria via LeMat-Bulk.

Computed properties:
- polymorph energy (0 for the lowest one) (eV per atom) = 0.520
- E_tot (eV/atom) = -1.128
- total magnetization (μB per cell) = 2.00
- ΔE_f (raw) (meV/atom) = 147
- crystal system = cubic

```
Rb3BaI
1.0
-3.0446 -4.1514 6.7940
7.9485 -1.1614 2.8523
-0.4634 7.3539 4.2858
Ba Rb I
1 3 1
direct
0.0000 0.0000 0.0000 Ba
0.0000 0.0000 0.5000 Rb
0.0000 0.5000 0.0000 Rb
0.5000 0.0000 0.0000 Rb
0.5000 0.5000 0.5000 I
```

(5)
The following is a GGA-PBE calculation of Zr3TaNi after structural relaxation, from Alexandria via LeMat-Bulk.

Computed properties:
- polymorph energy (0 for the lowest one) (eV per atom) = 0.741
- E_tot (eV/atom) = -7.390
- formation energy (eV per formula unit) = 6.328
- total magnetization (μB per cell) = 0.00
- crystal system = cubic

```
Zr3TaNi
1.0
5.0820 0.0000 0.0000
0.0000 5.0820 0.0000
0.0000 0.0000 5.0820
Zr Ni Ta
3 1 1
direct
0.0000 0.0000 0.5000 Zr
0.0000 0.5000 0.0000 Zr
0.5000 0.0000 0.0000 Zr
0.5000 0.5000 0.5000 Ni
0.0000 0.0000 0.0000 Ta
```

(6)
The following is a GGA-PBE calculation of Ag2AsRu after structural relaxation, from Alexandria via LeMat-Bulk.

Computed properties:
- E_tot (eV/atom) = -4.835
- formation energy (eV per formula unit) = 0.289
- total magnetization (μB per cell) = 0.00
- crystal system = tetragonal

```
Ag2AsRu
1.0
-1.5493 2.6740 0.1025
-1.9795 -1.0655 -2.1231
-4.1414 -2.5976 5.1649
Ag Ru As
2 1 1
direct
0.0000 0.0000 0.9886 Ag
0.5000 0.5000 0.2548 Ag
0.5000 0.5000 0.7113 Ru
0.0000 0.0000 0.5453 As
```

(7)
The following is a GGA-PBE calculation of NaDyPd2 after structural relaxation, from Alexandria via LeMat-Bulk.

Computed properties:
- polymorph energy (0 for the lowest one) (eV per atom) = 0.000
- E_tot (eV/atom) = -4.620
- formation energy (eV per formula unit) = -2.175
- total magnetization (μB per cell) = 0.00
- crystal system = tetragonal

```
NaDyPd2
1.0
-1.3550 -1.7775 -2.6148
3.1390 -0.4152 -1.3443
0.7920 -6.0916 3.7306
Na Pd Dy
1 2 1
direct
0.5000 0.5000 0.5000 Na
0.0000 0.0000 0.7738 Pd
0.0000 0.0000 0.2262 Pd
0.5000 0.5000 0.0000 Dy
```

(8)
The following is a GGA-PBE calculation of Ac2Sn6Pd3 after structural relaxation, from Alexandria via LeMat-Bulk.

Computed properties:
- E_tot (eV/atom) = -4.991
- formation energy (eV per formula unit) = -7.092
- total magnetization (μB per cell) = 0.00
- crystal system = hexagonal

```
Ac2Sn6Pd3
1.0
4.7131 0.0000 0.0000
0.0000 7.2364 -4.1779
0.0000 0.0000 8.3558
Sn Ac Pd
6 2 3
direct
0.0000 0.2053 0.2053 Sn
0.0000 0.7947 0.0000 Sn
0.5000 0.0000 0.3315 Sn
0.5000 0.3315 0.0000 Sn
0.5000 0.6685 0.6685 Sn
0.0000 0.0000 0.7947 Sn
0.0000 0.6667 0.3333 Ac
0.0000 0.3333 0.6667 Ac
0.5000 0.6528 0.0000 Pd
0.5000 0.0000 0.6528 Pd
0.5000 0.3472 0.3472 Pd
```